CoSnS2O8: relaxed, PBE+U.

Crystal system: monoclinic
E (eV per cell): -73.01
SG: C2/m (12)

CIF file:
```
data_CoSnS2O8
_chemical_formula_sum 'Co1 Sn1 S2 O8'
_symmetry_space_group_name_H-M 'P 1'
_symmetry_Int_Tables_number 1
_cell_length_a 4.9041
_cell_length_b 4.9041
_cell_length_c 7.4875
_cell_angle_alpha 87.38
_cell_angle_beta 87.38
_cell_angle_gamma 65.12
loop_
_symmetry_equiv_pos_as_xyz
'x,y,z'
loop_
_atom_site_label
_atom_site_fract_x
_atom_site_fract_y
_atom_site_fract_z
Co1 0.0000 0.0000 0.0000
Sn1 0.0000 0.0000 0.5000
S1 0.6390 0.6390 0.2227
S2 0.3610 0.3610 0.7773
O1 0.6987 0.2339 0.7880
O2 0.7597 0.7597 0.0718
O3 0.7084 0.7084 0.4019
O4 0.2916 0.2916 0.5981
O5 0.2403 0.2403 0.9282
O6 0.2339 0.6987 0.7880
O7 0.7661 0.3013 0.2120
O8 0.3013 0.7661 0.2120
```